*A*
BeFe2F: relaxed, GGA+U.

Calculated density in g/cm³: 4.8
Symmetry: Fm-3m
Total magnetic moment in μB per cell: 5.83

Cell lengths 4.1020, 4.1020, 4.1020 Å; angles 60.00, 60.00, 60.00 degrees
With the nearest neighbours (Å) after each atom.
Atoms (fractional coordinates):
1 Be 0.0000 0.0000 0.0000  8 Fe 2.51
2 Fe 0.2500 0.2500 0.2500  4 F 2.51, 4 Be 2.51
3 Fe 0.7500 0.7500 0.7500  4 F 2.51, 4 Be 2.51
4 F 0.5000 0.5000 0.5000  8 Fe 2.51

*B*
BeFe2F: relaxed, GGA+U.

Calculated density in g/cm³: 4.4
Symmetry: I-42d
Total magnetic moment in μB per cell: 13.12

Cell lengths 5.1483, 5.1483, 5.1483 Å; angles 107.59, 107.59, 113.30 degrees
With the nearest neighbours (Å) after each atom.
Atoms (fractional coordinates):
1 Be 0.0000 0.0000 0.0000  4 Fe 2.32
2 Be 0.7500 0.2500 0.5000  4 Fe 2.32
3 Fe 0.1388 0.6250 0.0138  2 F 2.21, 2 Be 2.32
4 Fe 0.3750 0.3888 0.5138  2 F 2.21, 2 Be 2.32
5 Fe 0.6112 0.1250 0.9862  2 F 2.21, 2 Be 2.32
6 Fe 0.8750 0.8612 0.4862  2 F 2.21, 2 Be 2.32
7 F 0.2500 0.7500 0.5000  4 Fe 2.21
8 F 0.5000 0.5000 0.0000  4 Fe 2.21

Most stable one: *B*, least stable one: *A*.

*A*
Be3FeF: relaxed, GGA+U.

Calculated density in g/cm³: 2.1
Symmetry: Pm-3m
Total magnetic moment in μB per cell: 3.37

Cell lengths 4.3361, 4.3361, 4.3361 Å; angles 90.00, 90.00, 90.00 degrees
With the nearest neighbours (Å) after each atom.
Atoms (fractional coordinates):
1 Be 0.0000 0.0000 0.5000  2 Fe 2.17
2 Be 0.0000 0.5000 0.0000  2 Fe 2.17
3 Be 0.5000 0.0000 0.0000  2 Fe 2.17
4 Fe 0.0000 0.0000 0.0000  6 Be 2.17
5 F 0.5000 0.5000 0.5000  12 Be 3.07

*B*
Be3FeF: relaxed, GGA+U.

Calculated density in g/cm³: 3.5
Symmetry: Pm-3m
Total magnetic moment in μB per cell: 1.91

Cell lengths 3.6353, 3.6353, 3.6353 Å; angles 90.00, 90.00, 90.00 degrees
With the nearest neighbours (Å) after each atom.
Atoms (fractional coordinates):
1 Be 0.0000 0.0000 0.5000  2 F 1.82
2 Be 0.0000 0.5000 0.0000  2 F 1.82
3 Be 0.5000 0.0000 0.0000  2 F 1.82
4 Fe 0.5000 0.5000 0.5000  12 Be 2.57
5 F 0.0000 0.0000 0.0000  6 Be 1.82

Most stable one: *B*, least stable one: *A*.

*A*
BeFeNF2: relaxed, GGA+U.

Calculated density in g/cm³: 3.2
Symmetry: P4/mmm
Total magnetic moment in μB per cell: 4.95

Cell lengths 3.8044, 3.8044, 4.1493 Å; angles 90.00, 90.00, 90.00 degrees
With the nearest neighbours (Å) after each atom.
Atoms (fractional coordinates):
1 Be 0.0000 0.0000 0.0000  4 N 2.69, 8 F 2.81
2 Fe 0.5000 0.5000 0.5000  4 F 1.90, 2 N 2.07
3 N 0.5000 0.5000 0.0000  2 Fe 2.07
4 F 0.0000 0.5000 0.5000  2 Fe 1.90
5 F 0.5000 0.0000 0.5000  2 Fe 1.90

*B*
BeFeNF2: relaxed, GGA+U.

Calculated density in g/cm³: 3.8
Symmetry: P4/mmm
Total magnetic moment in μB per cell: 4.84

Cell lengths 3.1121, 3.1121, 5.3187 Å; angles 90.00, 90.00, 90.00 degrees
With the nearest neighbours (Å) after each atom.
Atoms (fractional coordinates):
1 Be 0.0000 0.0000 0.0000  4 F 1.56
2 Fe 0.5000 0.5000 0.5000  4 N 2.20
3 N 0.0000 0.0000 0.5000  4 Fe 2.20
4 F 0.0000 0.5000 0.0000  2 Be 1.56
5 F 0.5000 0.0000 0.0000  2 Be 1.56

Most stable one: *B*, least stable one: *A*.